VASP calculation (PBE) on crystalline KNb3Tl at its relaxed geometry.

a = 5.308 Å, b = 5.308 Å, c = 5.308 Å
α = 90.00°, β = 90.00°, γ = 90.00°
Space group Pm-3m (No. 221)
Symmetry-distinct sites (fractional):
K: 0.000 0.000 0.000 [1 per cell]
Nb: 0.000 0.500 0.500 [3 per cell]
Tl: 0.500 0.500 0.500 [1 per cell]

Summary:
Calculated formation energy: 2.108 eV/atom
Polymorph energy (0 for the lowest one): 0.0 meV per atom
DOS(E_F): 10.647 states/eV per cell
Crystal system: cubic